A geometry-optimized KBaIn2Bi2 structure, computed with PBE.

Cell and atoms, written as CIF:
```
data_KBaIn2Bi2
_chemical_formula_sum 'K1 Ba1 In2 Bi2'
_cell_length_a 5.609
_cell_length_b 5.609
_cell_length_c 7.886
_cell_angle_alpha 90.00
_cell_angle_beta 90.00
_cell_angle_gamma 120.00
_symmetry_space_group_name_H-M 'P 1'
_symmetry_Int_Tables_number 1
loop_
_symmetry_equiv_pos_as_xyz
'x,y,z'
loop_
_atom_site_label
_atom_site_type_symbol
_atom_site_fract_x
_atom_site_fract_y
_atom_site_fract_z
_atom_site_occupancy
Ba1 Ba 0.000 0.000 0.000 1
In1 In 0.667 0.333 0.315 1
In2 In 0.333 0.667 0.685 1
Bi1 Bi 0.667 0.333 0.742 1
Bi2 Bi 0.333 0.667 0.258 1
K1 K 0.000 0.000 0.500 1
```

Properties
**ΔH_f (0 K)**: -382 meV per atom
**M_tot**: 0.00 μB/cell
**DFT total energy**: -3.091 eV/atom